Record 1
{
  "formula": "Nd2BC2",
  "functional": "PBE",
  "state": "optimized geometry",
  "lattice": [[1.5921, -7.3385, 0.0000], [1.5921, 7.3385, 0.0000], [0.0000, 0.0000, 6.4859]],
  "species": ["Nd", "Nd", "Nd", "Nd", "B", "B", "C", "C", "C", "C"],
  "frac_coords": [[0.0363, 0.9637, 0.5000], [0.2247, 0.7753, 0.8118], [0.7753, 0.2247, 0.3118], [0.9637, 0.0363, 0.0000], [0.3815, 0.6185, 0.5650], [0.6185, 0.3815, 0.0650], [0.1405, 0.8595, 0.1700], [0.4179, 0.5821, 0.3340], [0.5821, 0.4179, 0.8340], [0.8595, 0.1405, 0.6700]],
  "total_energy_ev_per_atom": -6.962,
  "m_tot_mub_per_cell": 0.0,
  "volume_a3_per_atom": 15.16,
  "dos_ef_per_ev_cell": 3.6,
  "formation_energy_kj_per_mol_atoms": -2.85
}

Record 2
{
  "formula": "NdB5C2",
  "functional": "PBE",
  "state": "optimized geometry",
  "lattice": [[4.5272, 0.0000, 0.0000], [0.0000, 5.3866, 0.0000], [0.0000, 0.0000, 6.6555]],
  "species": ["Nd", "Nd", "B", "B", "B", "B", "B", "B", "B", "B", "B", "B", "C", "C", "C", "C"],
  "frac_coords": [[0.0000, 0.0000, 0.0000], [0.5000, 0.5000, 0.5000], [0.0000, 0.5000, 0.5000], [0.2062, 0.0000, 0.3750], [0.2062, 0.0000, 0.6250], [0.2938, 0.5000, 0.1250], [0.2938, 0.5000, 0.8750], [0.5000, 0.0000, 0.0000], [0.7062, 0.5000, 0.1250], [0.7062, 0.5000, 0.8750], [0.7938, 0.0000, 0.3750], [0.7938, 0.0000, 0.6250], [0.0000, 0.5000, 0.2658], [0.0000, 0.5000, 0.7342], [0.5000, 0.0000, 0.2342], [0.5000, 0.0000, 0.7658]],
  "total_energy_ev_per_atom": -6.619,
  "m_tot_mub_per_cell": 0.0,
  "volume_a3_per_atom": 10.14,
  "dos_ef_per_ev_cell": 2.6,
  "formation_energy_kj_per_mol_atoms": 43.99
}

Record 3
{
  "formula": "Nd3B4C4",
  "functional": "PBE",
  "state": "optimized geometry",
  "lattice": [[-2.0951, 2.6000, 6.6744], [2.0951, -2.6000, 6.6744], [2.0951, 2.6000, -6.6744]],
  "species": ["Nd", "Nd", "Nd", "B", "B", "B", "B", "C", "C", "C", "C"],
  "frac_coords": [[0.0000, 0.0000, 0.0000], [0.3045, 0.8045, 0.5000], [0.6955, 0.1955, 0.5000], [0.0701, 0.4041, 0.6661], [0.2620, 0.5959, 0.6661], [0.7380, 0.4041, 0.3339], [0.9299, 0.5959, 0.3339], [0.1861, 0.1861, 0.0000], [0.3522, 0.5000, 0.8522], [0.6478, 0.5000, 0.1478], [0.8139, 0.8139, 0.0000]],
  "total_energy_ev_per_atom": -6.628,
  "m_tot_mub_per_cell": 0.0,
  "volume_a3_per_atom": 13.22,
  "dos_ef_per_ev_cell": 2.7,
  "formation_energy_kj_per_mol_atoms": 43.86
}

Record 4
{
  "formula": "NdB3C2",
  "functional": "PBE",
  "state": "optimized geometry",
  "lattice": [[6.7709, -1.4394, 0.0000], [6.7709, 1.4394, 0.0000], [-3.4766, 0.0000, 6.0661]],
  "species": ["Nd", "Nd", "B", "B", "B", "B", "B", "B", "C", "C", "C", "C"],
  "frac_coords": [[0.1496, 0.1496, 0.0973], [0.8504, 0.8504, 0.9027], [0.0632, 0.0632, 0.3705], [0.2194, 0.2194, 0.5208], [0.3913, 0.3913, 0.2966], [0.6087, 0.6087, 0.7034], [0.7806, 0.7806, 0.4792], [0.9368, 0.9368, 0.6295], [0.1538, 0.1538, 0.6612], [0.4984, 0.4984, 0.7288], [0.5016, 0.5016, 0.2712], [0.8462, 0.8462, 0.3388]],
  "total_energy_ev_per_atom": -7.209,
  "m_tot_mub_per_cell": 0.0,
  "volume_a3_per_atom": 9.85,
  "dos_ef_per_ev_cell": 3.6,
  "formation_energy_kj_per_mol_atoms": -0.05
}

Record 5
{
  "formula": "NdB3C",
  "functional": "PBE",
  "state": "optimized geometry",
  "lattice": [[7.4980, 0.0000, 0.0000], [0.0000, 4.2255, 0.0000], [-5.3951, 0.0000, 7.5918]],
  "species": ["Nd", "Nd", "Nd", "Nd", "B", "B", "B", "B", "B", "B", "B", "B", "B", "B", "B", "B", "C", "C", "C", "C"],
  "frac_coords": [[0.2323, 0.1265, 0.4390], [0.2323, 0.3735, 0.9390], [0.7677, 0.6265, 0.0610], [0.7677, 0.8735, 0.5610], [0.1035, 0.6049, 0.5743], [0.1035, 0.8951, 0.0743], [0.2527, 0.6499, 0.2329], [0.2527, 0.8501, 0.7329], [0.3868, 0.0159, 0.2279], [0.3868, 0.4841, 0.7279], [0.6132, 0.5159, 0.2721], [0.6132, 0.9841, 0.7721], [0.7473, 0.1499, 0.2671], [0.7473, 0.3501, 0.7671], [0.8965, 0.1049, 0.9257], [0.8965, 0.3951, 0.4257], [0.4141, 0.1212, 0.7717], [0.4141, 0.3788, 0.2717], [0.5859, 0.6212, 0.7283], [0.5859, 0.8788, 0.2283]],
  "total_energy_ev_per_atom": -7.009,
  "m_tot_mub_per_cell": 0.0,
  "volume_a3_per_atom": 12.03,
  "dos_ef_per_ev_cell": 3.9,
  "formation_energy_kj_per_mol_atoms": -19.73
}

Record 6
{
  "formula": "Nd3BC4",
  "functional": "PBE",
  "state": "optimized geometry",
  "lattice": [[4.0296, 0.0000, 0.0000], [0.0000, 4.3733, 0.0000], [0.0000, 0.0000, 13.1199]],
  "species": ["Nd", "Nd", "Nd", "Nd", "Nd", "Nd", "B", "B", "C", "C", "C", "C", "C", "C", "C", "C"],
  "frac_coords": [[0.0000, 0.0000, 0.0000], [0.0000, 0.5000, 0.1834], [0.0000, 0.5000, 0.8166], [0.5000, 0.0000, 0.3166], [0.5000, 0.0000, 0.6834], [0.5000, 0.5000, 0.5000], [0.0000, 0.0000, 0.5000], [0.5000, 0.5000, 0.0000], [0.0000, 0.3379, 0.3847], [0.0000, 0.3379, 0.6153], [0.0000, 0.6621, 0.3847], [0.0000, 0.6621, 0.6153], [0.5000, 0.1621, 0.1153], [0.5000, 0.1621, 0.8847], [0.5000, 0.8379, 0.1153], [0.5000, 0.8379, 0.8847]],
  "total_energy_ev_per_atom": -6.989,
  "m_tot_mub_per_cell": 0.0,
  "volume_a3_per_atom": 14.45,
  "dos_ef_per_ev_cell": 6.7,
  "formation_energy_kj_per_mol_atoms": 23.73
}

Record 7
{
  "formula": "Nd2BC3",
  "functional": "PBE",
  "state": "optimized geometry",
  "lattice": [[0.0000, 3.9561, 5.6630], [3.5895, 0.0000, 5.6630], [3.5895, 3.9561, 0.0000]],
  "species": ["Nd", "Nd", "Nd", "Nd", "B", "B", "C", "C", "C", "C", "C", "C"],
  "frac_coords": [[0.2061, 0.7939, 0.7939], [0.2500, 0.2500, 0.2500], [0.7500, 0.7500, 0.7500], [0.7939, 0.2061, 0.2061], [0.3457, 0.3457, 0.6543], [0.6543, 0.6543, 0.3457], [0.2103, 0.2103, 0.7897], [0.2722, 0.6019, 0.3981], [0.3981, 0.7278, 0.2722], [0.6019, 0.2722, 0.7278], [0.7278, 0.3981, 0.6019], [0.7897, 0.7897, 0.2103]],
  "total_energy_ev_per_atom": -7.373,
  "m_tot_mub_per_cell": 0.0,
  "volume_a3_per_atom": 13.40,
  "dos_ef_per_ev_cell": 3.2,
  "formation_energy_kj_per_mol_atoms": -5.68
}

Record 8
{
  "formula": "NdB2C",
  "functional": "PBE",
  "state": "optimized geometry",
  "lattice": [[3.3476, 0.0000, 0.0000], [0.0000, 17.8020, 0.0000], [0.0000, 0.0000, 3.0499]],
  "species": ["Nd", "Nd", "Nd", "Nd", "B", "B", "B", "B", "B", "B", "B", "B", "C", "C", "C", "C"],
  "frac_coords": [[0.0000, 0.1092, 0.2500], [0.0000, 0.8908, 0.7500], [0.5000, 0.3908, 0.7500], [0.5000, 0.6092, 0.2500], [0.0000, 0.2501, 0.7500], [0.0000, 0.4881, 0.2500], [0.0000, 0.5119, 0.7500], [0.0000, 0.7499, 0.2500], [0.5000, 0.0119, 0.7500], [0.5000, 0.2499, 0.2500], [0.5000, 0.7501, 0.7500], [0.5000, 0.9881, 0.2500], [0.0000, 0.2929, 0.2500], [0.0000, 0.7071, 0.7500], [0.5000, 0.2071, 0.7500], [0.5000, 0.7929, 0.2500]],
  "total_energy_ev_per_atom": -6.719,
  "m_tot_mub_per_cell": 0.0,
  "volume_a3_per_atom": 11.36,
  "dos_ef_per_ev_cell": 3.6,
  "formation_energy_kj_per_mol_atoms": 11.31
}